# 1
# Tm4HgSe3 GGA-PBE relaxed
# raw formation energy: -10.8 eV per formula unit
# symmetry: Cmmm
# V: 194 Å³/cell
data_Tm4HgSe3
_space_group_name_H-M_alt 'P 1'
_space_group_IT_number 1
_cell_length_a 3.955
_cell_length_b 7.181
_cell_length_c 7.181
_cell_angle_alpha 108.02
_cell_angle_beta 90.00
_cell_angle_gamma 90.00
loop_
_space_group_symop_operation_xyz
'x,y,z'
loop_
_atom_site_label
_atom_site_fract_x
_atom_site_fract_y
_atom_site_fract_z
Tm1 0.000 0.251 0.251
Tm2 0.500 0.751 0.249
Tm3 0.000 0.749 0.749
Tm4 0.500 0.249 0.751
Hg1 0.500 0.000 0.000
Se1 0.000 0.000 0.500
Se2 0.500 0.500 0.500
Se3 0.000 0.500 0.000

# 2
# SrAc2La3Se6 GGA-PBE relaxed
# raw formation energy: -23.4 eV per formula unit
# symmetry: C2/m
# V: 357 Å³/cell
data_SrAc2La3Se6
_space_group_name_H-M_alt 'P 1'
_space_group_IT_number 1
_cell_length_a 7.591
_cell_length_b 7.591
_cell_length_c 7.598
_cell_angle_alpha 99.56
_cell_angle_beta 99.56
_cell_angle_gamma 120.04
loop_
_space_group_symop_operation_xyz
'x,y,z'
loop_
_atom_site_label
_atom_site_fract_x
_atom_site_fract_y
_atom_site_fract_z
Sr1 0.000 0.000 0.000
Ac1 0.334 0.666 0.000
Ac2 0.666 0.334 0.000
La1 0.167 0.833 0.500
La2 0.833 0.167 0.500
La3 0.500 0.500 0.500
Se1 0.915 0.585 0.743
Se2 0.757 0.757 0.257
Se3 0.085 0.415 0.257
Se4 0.585 0.915 0.743
Se5 0.243 0.243 0.743
Se6 0.415 0.085 0.257

# 3
# MgBeOF2 GGA-PBE relaxed
# raw formation energy: -8.6 eV per formula unit
# energy above the most stable polymorph in this dataset: 857 meV/atom
# symmetry: P4/mmm
# V: 56 Å³/cell
data_MgBeOF2
_space_group_name_H-M_alt 'P 1'
_space_group_IT_number 1
_cell_length_a 3.643
_cell_length_b 3.643
_cell_length_c 4.192
_cell_angle_alpha 90.00
_cell_angle_beta 90.00
_cell_angle_gamma 90.00
loop_
_space_group_symop_operation_xyz
'x,y,z'
loop_
_atom_site_label
_atom_site_fract_x
_atom_site_fract_y
_atom_site_fract_z
Be1 0.500 0.500 0.500
Mg1 0.000 0.000 0.000
O1 0.000 0.000 0.500
F1 0.000 0.500 0.000
F2 0.500 0.000 0.000

# 4
# ZnFe3Pb GGA-PBE relaxed
# energy relative to the elements: 0.950 eV per atom
# energy above the most stable polymorph in this dataset: 0 meV/atom
# symmetry: Pm-3m
# V: 91 Å³/cell
data_ZnFe3Pb
_space_group_name_H-M_alt 'P 1'
_space_group_IT_number 1
_cell_length_a 4.498
_cell_length_b 4.498
_cell_length_c 4.498
_cell_angle_alpha 90.00
_cell_angle_beta 90.00
_cell_angle_gamma 90.00
loop_
_space_group_symop_operation_xyz
'x,y,z'
loop_
_atom_site_label
_atom_site_fract_x
_atom_site_fract_y
_atom_site_fract_z
Pb1 0.500 0.500 0.500
Zn1 0.000 0.000 0.000
Fe1 0.000 0.500 0.000
Fe2 0.000 0.000 0.500
Fe3 0.500 0.000 0.000

# 5
# NbSiS2N GGA-PBE relaxed
# raw formation energy: 0.8 eV per formula unit
# energy above the most stable polymorph in this dataset: 0 meV/atom
# symmetry: P4/mmm
# V: 73 Å³/cell
data_NbSiS2N
_space_group_name_H-M_alt 'P 1'
_space_group_IT_number 1
_cell_length_a 4.732
_cell_length_b 4.732
_cell_length_c 3.282
_cell_angle_alpha 90.00
_cell_angle_beta 90.00
_cell_angle_gamma 90.00
loop_
_space_group_symop_operation_xyz
'x,y,z'
loop_
_atom_site_label
_atom_site_fract_x
_atom_site_fract_y
_atom_site_fract_z
Nb1 0.500 0.500 0.500
Si1 0.000 0.000 0.000
S1 0.000 0.500 0.000
S2 0.500 0.000 0.000
N1 0.000 0.000 0.500

# 6
# Cs2BiBr4 GGA-PBE relaxed
# raw formation energy: -8.8 eV per formula unit
# energy above the most stable polymorph in this dataset: 0 meV/atom
# symmetry: I4/mmm
# V: 339 Å³/cell
data_Cs2BiBr4
_space_group_name_H-M_alt 'P 1'
_space_group_IT_number 1
_cell_length_a 8.438
_cell_length_b 8.438
_cell_length_c 7.631
_cell_angle_alpha 123.57
_cell_angle_beta 123.57
_cell_angle_gamma 90.00
loop_
_space_group_symop_operation_xyz
'x,y,z'
loop_
_atom_site_label
_atom_site_fract_x
_atom_site_fract_y
_atom_site_fract_z
Cs1 0.750 0.250 0.500
Cs2 0.250 0.750 0.500
Bi1 0.500 0.500 0.000
Br1 0.742 0.258 0.001
Br2 0.258 0.742 0.001
Br3 0.742 0.742 0.999
Br4 0.258 0.258 0.999

# 7
# NbReCCl2 GGA-PBE relaxed
# raw formation energy: 7.4 eV per formula unit
# energy above the most stable polymorph in this dataset: 0 meV/atom
# symmetry: P4/mmm
# V: 105 Å³/cell
data_NbReCCl2
_space_group_name_H-M_alt 'P 1'
_space_group_IT_number 1
_cell_length_a 5.072
_cell_length_b 4.097
_cell_length_c 5.072
_cell_angle_alpha 90.00
_cell_angle_beta 90.00
_cell_angle_gamma 90.00
loop_
_space_group_symop_operation_xyz
'x,y,z'
loop_
_atom_site_label
_atom_site_fract_x
_atom_site_fract_y
_atom_site_fract_z
Re1 0.500 0.500 0.500
Nb1 0.000 0.000 0.000
C1 0.000 0.500 0.000
Cl1 0.000 0.000 0.500
Cl2 0.500 0.000 0.000

# 8
# Pr3CuAg2 GGA-PBE relaxed
# energy relative to the elements: -0.195 eV per atom
# energy above the most stable polymorph in this dataset: 6 meV/atom
# symmetry: Cmmm
# V: 156 Å³/cell
data_Pr3CuAg2
_space_group_name_H-M_alt 'P 1'
_space_group_IT_number 1
_cell_length_a 3.680
_cell_length_b 5.336
_cell_length_c 8.389
_cell_angle_alpha 108.54
_cell_angle_beta 90.00
_cell_angle_gamma 90.00
loop_
_space_group_symop_operation_xyz
'x,y,z'
loop_
_atom_site_label
_atom_site_fract_x
_atom_site_fract_y
_atom_site_fract_z
Pr1 0.500 0.500 0.000
Pr2 0.500 0.842 0.683
Pr3 0.500 0.158 0.317
Cu1 0.000 0.000 0.000
Ag1 0.000 0.328 0.655
Ag2 0.000 0.672 0.345

Record-wise total energy values, in eV per atom: -4.93, -5.75, -4.52, -5.12, -6.26, -3.01, -5.62, -4.22